Record 1
This record from Alexandria describes an optimized crystal structure of Pm2YHoEr6. The functional is PBE-GGA.

Properties
* ΔE_f: 0.115 eV per atom
* crystal system: monoclinic
* total energy: -4.677 eV per atom
* space-group type: C2/c

```
Pm2YHoEr6
1.0
4.4807 -7.5027 0.0000
4.4807 7.5027 0.0000
-1.4506 0.0000 9.4950
Pm Y Ho Er
4 2 2 12
direct
0.1940 0.3006 0.0429 Pm
0.3006 0.1940 0.5429 Pm
0.6994 0.8060 0.4571 Pm
0.8060 0.6994 0.9571 Pm
0.0190 0.9810 0.2500 Y
0.9810 0.0190 0.7500 Y
0.4073 0.5927 0.7500 Ho
0.5927 0.4073 0.2500 Ho
0.0226 0.5746 0.1866 Er
0.1267 0.7453 0.5571 Er
0.2547 0.8733 0.9429 Er
0.2907 0.5017 0.3809 Er
0.4254 0.9774 0.3134 Er
0.4983 0.7093 0.1191 Er
0.5017 0.2907 0.8809 Er
0.5746 0.0226 0.6866 Er
0.7093 0.4983 0.6191 Er
0.7453 0.1267 0.0571 Er
0.8733 0.2547 0.4429 Er
0.9774 0.4254 0.8134 Er
```



Record 2
This record from Alexandria describes an optimized crystal structure of KScIr2. The functional is PBE-GGA.

Properties
* ΔE to the lowest computed polymorph: 0 meV per atom
* ΔE_f: -0.032 eV per atom
* crystal system: tetragonal
* total energy: -6.320 eV per atom
* space-group type: P4/mmm

```
KScIr2
1.0
2.9961 0.0000 0.0000
0.0000 2.9961 0.0000
0.0000 0.0000 8.7544
K Sc Ir
1 1 2
direct
0.0000 0.0000 0.0000 K
0.0000 0.0000 0.5000 Sc
0.5000 0.5000 0.2985 Ir
0.5000 0.5000 0.7015 Ir
```



Record 3
This record from Alexandria describes an optimized crystal structure of Nd5ScPb4. The functional is PBE-GGA.

Properties
* ΔE_f: -0.342 eV per atom
* crystal system: monoclinic
* total energy: -4.843 eV per atom
* space-group type: C2/m

```
Nd5ScPb4
1.0
8.4229 -2.7022 0.0000
8.4229 2.7022 0.0000
-0.1206 0.0000 7.3010
Nd Sc Pb
5 1 4
direct
0.0000 0.0000 0.0000 Nd
0.3338 0.3338 0.0004 Nd
0.3336 0.3336 0.4957 Nd
0.6662 0.6662 0.9996 Nd
0.6664 0.6664 0.5043 Nd
0.0000 0.0000 0.5000 Sc
0.1719 0.1719 0.7459 Pb
0.4927 0.4927 0.7382 Pb
0.5073 0.5073 0.2618 Pb
0.8281 0.8281 0.2541 Pb
```